## KMgAu2 (PBE)

Data for a relaxed structure of KMgAu2.

Values from the calculation:
DFT total energy ... -2.46 eV/atom

a b c (Å): 3.688 3.688 7.572
angles (deg): 90.00 90.00 90.00
Space group P4mm (No. 99)
Symmetry-distinct sites (fractional):
K  0.000  0.000  0.000 x1
Mg  0.500  0.500  0.380 x1
Au  0.000  0.000  0.509 x1
Au  0.500  0.500  0.729 x1

=====

## KMgAu2 (PBE)

Data for a relaxed structure of KMgAu2.

Values from the calculation:
DFT total energy ... -2.51 eV/atom

a b c (Å): 3.172 5.321 11.170
angles (deg): 90.00 90.00 90.00
Space group Imm2 (No. 44)
Symmetry-distinct sites (fractional):
K  0.000  0.000  0.000 x2
Mg  0.000  0.500  0.800 x2
Au  0.000  0.000  0.504 x2
Au  0.000  0.500  0.224 x2

=====

## KMg2Au (PBE)

Data for a relaxed structure of KMg2Au.

Values from the calculation:
DFT total energy ... -1.90 eV/atom
E above lowest polymorph ... 0.236 eV/atom

a b c (Å): 7.261 7.261 7.261
angles (deg): 90.00 90.00 90.00
Space group Fm-3m (No. 225)
Symmetry-distinct sites (fractional):
K  0.000  0.000  0.000 x4
Mg  0.250  0.250  0.250 x8
Au  0.000  0.000  0.500 x4

=====

## KMg2Au (PBE)

Data for a relaxed structure of KMg2Au.

Values from the calculation:
DFT total energy ... -1.72 eV/atom
E above lowest polymorph ... 0.411 eV/atom

a b c (Å): 6.256 10.847 3.085
angles (deg): 90.00 90.00 90.00
Space group Cmmm (No. 65)
Symmetry-distinct sites (fractional):
K  0.000  0.000  0.000 x2
Mg  0.250  0.250  0.500 x4
Au  0.000  0.500  0.000 x2

=====

## KMg3Au (PBE)

Data for a relaxed structure of KMg3Au.

Values from the calculation:
DFT total energy ... -0.77 eV/atom
E above lowest polymorph ... 1.236 eV/atom

a b c (Å): 6.504 6.504 6.504
angles (deg): 90.00 90.00 90.00
Space group Pm-3m (No. 221)
Symmetry-distinct sites (fractional):
K  0.000  0.000  0.000 x1
Mg  0.000  0.000  0.500 x3
Au  0.500  0.500  0.500 x1

=====

## KMg2Au (PBE)

Data for a relaxed structure of KMg2Au.

Values from the calculation:
DFT total energy ... -1.90 eV/atom
E above lowest polymorph ... 0.229 eV/atom

a b c (Å): 5.952 5.952 17.327
angles (deg): 90.00 90.00 90.00
Space group I4_1/amd (No. 141, origin choice 2)
Symmetry-distinct sites (fractional):
K  0.000  0.250  0.375 x4
Mg  0.000  0.000  0.000 x8
Au  0.000  0.250  0.875 x4

=====

## KMgAu2 (PBE)

Data for a relaxed structure of KMgAu2.

Values from the calculation:
DFT total energy ... -2.59 eV/atom

a b c (Å): 3.709 4.179 7.086
angles (deg): 90.00 90.00 90.00
Space group Pmm2 (No. 25)
Symmetry-distinct sites (fractional):
K  0.000  0.000  0.000 x1
Mg  0.000  0.500  0.543 x1
Au  0.500  0.000  0.574 x1
Au  0.500  0.500  0.265 x1

=====

## KMg2Au (PBE)

Data for a relaxed structure of KMg2Au.

Values from the calculation:
DFT total energy ... -2.11 eV/atom
E above lowest polymorph ... 0.018 eV/atom

a b c (Å): 4.6593 4.6593 19.8047
angles (deg): 90.00 90.00 120.00
Space group R-3m (No. 166, hexagonal axes)
Symmetry-distinct sites (fractional):
K  0.0000  0.0000  0.0000 x3
Mg  0.0000  0.0000  0.2004 x6
Au  0.0000  0.0000  0.5000 x3

=====

## KMgAu2 (PBE)

Data for a relaxed structure of KMgAu2.

Values from the calculation:
DFT total energy ... -2.65 eV/atom

a b c (Å): 8.217 4.722 6.561
angles (deg): 90.00 111.76 90.00
Space group Cm (No. 8)
Symmetry-distinct sites (fractional):
K  0.000  0.000  0.000 x2
Mg  0.202  0.000  0.556 x2
Au  0.038  0.500  0.567 x2
Au  0.333  0.500  0.442 x2

=====

## KMgAu2 (PBE)

Data for a relaxed structure of KMgAu2.

Values from the calculation:
DFT total energy ... -2.52 eV/atom

a b c (Å): 5.291 5.291 3.272
angles (deg): 90.00 90.00 90.00
Space group P4/mmm (No. 123)
Symmetry-distinct sites (fractional):
K  0.000  0.000  0.000 x1
Mg  0.500  0.500  0.000 x1
Au  0.000  0.500  0.500 x2

=====

## KMg2MnAu (PBE)

Data for a relaxed structure of KMg2MnAu.

Values from the calculation:
DFT total energy ... -2.86 eV/atom

a b c (Å): 5.114 5.114 4.838
angles (deg): 90.00 90.00 90.00
Space group P4/mmm (No. 123)
Symmetry-distinct sites (fractional):
K  0.000  0.000  0.000 x1
Mg  0.000  0.500  0.500 x2
Mn  0.500  0.500  0.500 x1
Au  0.500  0.500  0.000 x1

=====

## KNa2MgAu (PBE)

Data for a relaxed structure of KNa2MgAu.

Values from the calculation:
DFT total energy ... -1.85 eV/atom

a b c (Å): 5.735 5.735 5.344
angles (deg): 90.00 90.00 90.00
Space group P4/mmm (No. 123)
Symmetry-distinct sites (fractional):
K  0.000  0.000  0.000 x1
Na  0.000  0.500  0.500 x2
Mg  0.500  0.500  0.000 x1
Au  0.500  0.500  0.500 x1

=====

## K2NaMgAu (PBE)

Data for a relaxed structure of K2NaMgAu.

Values from the calculation:
DFT total energy ... -1.75 eV/atom

a b c (Å): 6.391 6.391 5.337
angles (deg): 90.00 90.00 90.00
Space group P4/mmm (No. 123)
Symmetry-distinct sites (fractional):
K  0.000  0.500  0.000 x2
Na  0.000  0.000  0.500 x1
Mg  0.500  0.500  0.500 x1
Au  0.500  0.500  0.000 x1

=====

## K2MgAuO4 (PBE)

Data for a relaxed structure of K2MgAuO4.

Values from the calculation:
ΔE_f (raw) ... -1.061 eV/atom
DFT total energy ... -4.42 eV/atom

a b c (Å): 5.912 13.855 19.444
angles (deg): 90.00 90.00 90.00
Space group Fddd (No. 70, origin choice 2)
Symmetry-distinct sites (fractional):
K  0.125  0.125  0.306 x16
Mg  0.125  0.125  0.125 x8
Au  0.125  0.125  0.625 x8
O  0.124  0.278  0.376 x32

=====

## KMgAuO2 (PBE)

Data for a relaxed structure of KMgAuO2.

Values from the calculation:
ΔE_f (raw) ... -1.416 eV/atom
DFT total energy ... -4.59 eV/atom

a b c (Å): 5.784 12.138 5.269
angles (deg): 90.00 90.00 90.00
Space group Cmme (No. 67)
Symmetry-distinct sites (fractional):
K  0.000  0.250  0.212 x4
Mg  0.250  0.000  0.000 x4
Au  0.000  0.000  0.500 x4
O  0.000  0.093  0.834 x8

=====

## KRbMg2Au (PBE)

Data for a relaxed structure of KRbMg2Au.

Values from the calculation:
DFT total energy ... -1.80 eV/atom

a b c (Å): 5.378 5.378 6.426
angles (deg): 90.00 90.00 90.00
Space group P4/mmm (No. 123)
Symmetry-distinct sites (fractional):
K  0.000  0.000  0.000 x1
Rb  0.500  0.500  0.000 x1
Mg  0.000  0.500  0.500 x2
Au  0.000  0.000  0.500 x1

=====

## KRb2MgAu (PBE)

Data for a relaxed structure of KRb2MgAu.

Values from the calculation:
DFT total energy ... -1.65 eV/atom

a b c (Å): 6.805 6.805 5.454
angles (deg): 90.00 90.00 90.00
Space group P4/mmm (No. 123)
Symmetry-distinct sites (fractional):
K  0.000  0.000  0.000 x1
Rb  0.000  0.500  0.500 x2
Mg  0.500  0.500  0.000 x1
Au  0.500  0.500  0.500 x1

=====

## KMgAuS2 (PBE)

Data for a relaxed structure of KMgAuS2.

Values from the calculation:
ΔE_f (raw) ... -1.018 eV/atom
DFT total energy ... -3.86 eV/atom

a b c (Å): 7.103 5.543 6.763
angles (deg): 90.00 104.50 90.00
Space group P2/c (No. 13)
Symmetry-distinct sites (fractional):
K  0.000  0.203  0.250 x2
Mg  0.500  0.492  0.750 x2
Au  0.500  0.000  0.000 x2
S  0.273  0.314  0.944 x4

=====

## K2MgSb4Au3 (PBE)

Data for a relaxed structure of K2MgSb4Au3.

Values from the calculation:
ΔE_f (raw) ... -0.352 eV/atom
DFT total energy ... -3.36 eV/atom

a b c (Å): 4.730 4.730 12.127
angles (deg): 90.00 90.00 90.00
Space group P-4m2 (No. 115)
Symmetry-distinct sites (fractional):
K  0.000  0.500  0.249 x2
Mg  0.500  0.500  0.000 x1
Sb  0.000  0.000  0.500 x1
Sb  0.000  0.500  0.863 x2
Sb  0.500  0.500  0.500 x1
Au  0.000  0.000  0.000 x1
Au  0.000  0.500  0.638 x2

=====

## K2MgSb3Au4 (PBE)

Data for a relaxed structure of K2MgSb3Au4.

Values from the calculation:
ΔE_f (raw) ... -0.357 eV/atom
DFT total energy ... -3.28 eV/atom

a b c (Å): 4.776 4.776 11.494
angles (deg): 90.00 90.00 90.00
Space group P-4m2 (No. 115)
Symmetry-distinct sites (fractional):
K  0.000  0.500  0.241 x2
Mg  0.000  0.000  0.500 x1
Sb  0.000  0.500  0.869 x2
Sb  0.500  0.500  0.500 x1
Au  0.000  0.000  0.000 x1
Au  0.000  0.500  0.629 x2
Au  0.500  0.500  0.000 x1

=====

## K2MgSi3Au12 (PBE)

Data for a relaxed structure of K2MgSi3Au12.

Values from the calculation:
ΔE_f (raw) ... -0.041 eV/atom
DFT total energy ... -3.34 eV/atom

a b c (Å): 9.0495 9.0495 19.0496
angles (deg): 90.00 90.00 120.00
Space group R-3m (No. 166, hexagonal axes)
Symmetry-distinct sites (fractional):
K  0.0000  0.0000  0.0990 x6
Mg  0.0000  0.0000  0.5000 x3
Si  0.0000  0.5000  0.0000 x9
Au  0.0125  0.5062  0.1301 x18
Au  0.1053  0.5526  0.3792 x18

=====

## KMgSn2Au4 (PBE)

Data for a relaxed structure of KMgSn2Au4.

Values from the calculation:
DFT total energy ... -3.30 eV/atom

a b c (Å): 4.7638 4.7638 29.9609
angles (deg): 90.00 90.00 120.00
Space group R-3m (No. 166, hexagonal axes)
Symmetry-distinct sites (fractional):
K  0.0000  0.0000  0.0000 x3
Mg  0.0000  0.0000  0.5000 x3
Sn  0.0000  0.0000  0.2432 x6
Au  0.0000  0.0000  0.1464 x6
Au  0.0000  0.0000  0.4088 x6

=====

## K2MgSn4Au3 (PBE)

Data for a relaxed structure of K2MgSn4Au3.

Values from the calculation:
DFT total energy ... -3.24 eV/atom

a b c (Å): 4.749 4.749 12.008
angles (deg): 90.00 90.00 90.00
Space group P-4m2 (No. 115)
Symmetry-distinct sites (fractional):
K  0.000  0.500  0.250 x2
Mg  0.000  0.000  0.500 x1
Sn  0.000  0.000  0.000 x1
Sn  0.000  0.500  0.637 x2
Sn  0.500  0.500  0.000 x1
Au  0.000  0.500  0.867 x2
Au  0.500  0.500  0.500 x1

=====

## KMgTe2Au (PBE)

Data for a relaxed structure of KMgTe2Au.

Values from the calculation:
ΔE_f (raw) ... -0.728 eV/atom
DFT total energy ... -3.18 eV/atom

a b c (Å): 6.879 15.274 6.465
angles (deg): 90.00 90.00 90.00
Space group Cmme (No. 67)
Symmetry-distinct sites (fractional):
K  0.000  0.250  0.219 x4
Mg  0.250  0.000  0.500 x4
Te  0.000  0.120  0.711 x8
Au  0.000  0.000  0.000 x4

=====

## KMg2TlAu (PBE)

Data for a relaxed structure of KMg2TlAu.

Values from the calculation:
DFT total energy ... -2.09 eV/atom

a b c (Å): 5.275 5.275 5.655
angles (deg): 90.00 90.00 90.00
Space group P4/mmm (No. 123)
Symmetry-distinct sites (fractional):
K  0.000  0.000  0.000 x1
Mg  0.000  0.500  0.500 x2
Tl  0.500  0.500  0.000 x1
Au  0.500  0.500  0.500 x1

=====

## KMgZnAu2 (PBE)

Data for a relaxed structure of KMgZnAu2.

Values from the calculation:
DFT total energy ... -2.43 eV/atom

a b c (Å): 4.433 4.433 12.059
angles (deg): 90.00 90.00 90.00
Space group I-4m2 (No. 119)
Symmetry-distinct sites (fractional):
K  0.000  0.000  0.000 x2
Mg  0.000  0.500  0.250 x2
Zn  0.000  0.500  0.750 x2
Au  0.000  0.000  0.382 x4